CdSeO4: optimized geometry, PBE.

```
CdSeO4
1.0
5.495 -2.424 0.000
5.495 2.424 0.000
-1.045 0.000 5.320
Cd Se O
2 2 8
Cartesian
4.712 1.325 3.990
5.234 -1.325 1.330
2.748 1.212 0.000
2.225 -1.212 2.660
1.249 0.040 3.795
1.771 -0.040 1.135
4.294 0.513 0.270
6.174 0.513 2.390
3.772 -0.513 2.930
5.651 -0.513 5.050
8.174 0.040 4.185
8.696 -0.040 1.525
```

Calculated values
Formation energy from raw total energies   -0.575 eV/atom
Density of states at the Fermi level   0.0921 states/eV per atom
Total magnetization   0.0000 μB per atom